# Pm4Er2Cd

A relaxed structure of Pm4Er2Cd (GGA-PBE, Alexandria).

N(E_F) = 9.29 states/eV/cell
formation energy = 29 meV per atom
symmetry = No. 12
volume = 225 Å³ per cell

Unit cell a=8.520 b=8.520 c=8.598 alpha=116.73 beta=116.73 gamma=23.97
Sites, in units of the cell vectors:
Pm 0.083 0.083 0.204
Pm 0.368 0.368 0.109
Pm 0.632 0.632 0.891
Pm 0.917 0.917 0.796
Er 0.217 0.217 0.639
Er 0.783 0.783 0.361
Cd 0.000 0.000 0.500